Entry 1:
An optimized crystal structure of NiAsPt, computed with PBEsol.

* energy of formation: -0.40 eV per formula unit
* DOS at the Fermi energy: 2.80 states/eV per cell
* space-group type: F-43m
* size of the total moment: 0.0 Bohr magnetons per cell
* ρ: 12.06 g/cm3

Cell: 3.9997 3.9997 3.9997 Å, 60.00 60.00 60.00°
Last column: nearest neighbours and their distance in Å.
Positions (direct):
Pt 0.5000 0.5000 0.5000  4 As 2.45
As 0.2500 0.2500 0.2500  4 Pt 2.45, 4 Ni 2.45
Ni 0.0000 0.0000 0.0000  4 As 2.45

***

Entry 2:
An optimized crystal structure of NiAs2Pt, computed with PBEsol.

* energy of formation: -0.05 eV per formula unit
* DOS at the Fermi energy: 5.98 states/eV per cell
* space-group type: I-42d
* size of the total moment: 0.0 Bohr magnetons per cell
* ρ: 8.65 g/cm3

Cell: 5.4889 5.4889 6.4421 Å, 115.22 115.22 90.00°
Last column: nearest neighbours and their distance in Å.
Positions (direct):
Ni 0.5000 0.5000 0.0000  4 As 2.25
Ni 0.7500 0.2500 0.5000  4 As 2.25
As 0.3984 0.8750 0.2500  2 Ni 2.25, 2 Pt 2.41
As 0.8516 0.3750 0.2500  2 Ni 2.25, 2 Pt 2.41
As 0.1250 0.1484 0.7500  2 Ni 2.25, 2 Pt 2.41
As 0.6250 0.6016 0.7500  2 Ni 2.25, 2 Pt 2.41
Pt 0.2500 0.7500 0.5000  4 As 2.41
Pt 0.0000 0.0000 0.0000  4 As 2.41

***

Entry 3:
An optimized crystal structure of NiAsPt2, computed with PBEsol.

* energy of formation: 0.25 eV per formula unit
* DOS at the Fermi energy: 6.35 states/eV per cell
* space-group type: R-3m
* size of the total moment: 0.8 Bohr magnetons per cell
* ρ: 15.06 g/cm3

Cell: 2.8349 2.8349 8.4578 Å, 80.35 80.35 60.00°
Last column: nearest neighbours and their distance in Å.
Positions (direct):
As 0.5000 0.5000 0.5000  6 Pt 2.69, 6 As 2.83
Pt 0.7476 0.7476 0.7572  3 Ni 2.60, 3 As 2.69, 6 Pt 2.83
Pt 0.2524 0.2524 0.2428  3 Ni 2.60, 3 As 2.69, 6 Pt 2.83
Ni 0.0000 0.0000 0.0000  6 Pt 2.60, 6 Ni 2.83

***

Entry 4:
An optimized crystal structure of NiAsPt2, computed with PBEsol.

* energy of formation: -0.32 eV per formula unit
* DOS at the Fermi energy: 3.94 states/eV per cell
* space-group type: Immm
* size of the total moment: 0.0 Bohr magnetons per cell
* ρ: 15.25 g/cm3

Cell: 3.4960 3.9883 4.8751 Å, 114.15 111.01 90.00°
Last column: nearest neighbours and their distance in Å.
Positions (direct):
Pt 0.7780 0.7780 0.5561  2 As 2.52, 4 Pt 2.69, 2 Ni 2.70
Pt 0.2220 0.2220 0.4439  2 As 2.52, 4 Pt 2.69, 2 Ni 2.70
Ni 0.0000 0.5000 0.0000  4 As 2.65, 8 Pt 2.70-2.87
As 0.5000 0.0000 0.0000  4 Pt 2.52, 4 Ni 2.65

***

Number 1 is which compound? NiAsPt